Record 1
Cs2MgTlF: optimized geometry, GGA-PBE.

```
Cs2MgTlF
1.0
7.311 0.000 0.000
0.000 7.311 0.000
0.000 0.000 5.356
Cs Mg Tl F
2 1 1 1
direct
0.000 0.500 0.000 Cs
0.500 0.000 0.000 Cs
0.000 0.000 0.000 Mg
0.000 0.000 0.500 Tl
0.500 0.500 0.500 F
```

Electronic total energy in eV per atom: -1.92
Crystal system: tetragonal


Record 2
Cs2TmMgF6: optimized geometry, GGA-PBE.

```
Cs2TmMgF6
1.0
6.904 0.000 0.000
0.000 8.280 0.000
0.000 0.000 7.726
Cs Tm Mg F
4 2 2 12
direct
0.250 0.012 0.159 Cs
0.250 0.488 0.159 Cs
0.750 0.512 0.841 Cs
0.750 0.988 0.841 Cs
0.250 0.250 0.628 Tm
0.750 0.750 0.372 Tm
0.250 0.750 0.657 Mg
0.750 0.250 0.343 Mg
0.026 0.250 0.427 F
0.038 0.250 0.827 F
0.250 0.511 0.609 F
0.250 0.989 0.609 F
0.462 0.250 0.827 F
0.474 0.250 0.427 F
0.526 0.750 0.573 F
0.538 0.750 0.173 F
0.750 0.011 0.391 F
0.750 0.489 0.391 F
0.962 0.750 0.173 F
0.974 0.750 0.573 F
```

Electronic total energy in eV per atom: -5.11
Crystal system: orthorhombic


Short version: energy relative to the elements, uncorrected = -40.15, -309.91 kJ/mol of atoms, in the order given.
Short version: DOS(E_F) = 4.2, 5.1 states/eV/cell, in the order given.